No. 1
VASP calculation (PBE-GGA) on a relaxed BaOsRu crystal.

Calculated values
Polymorph energy (0 for the lowest one) (eV/atom): 0.020

Cell: 4.5563 4.5605 7.8469 Å, 89.99 89.91 81.75°
Closest atoms and distances in Å follow each position.
Space group P1 (No. 1)
One atom of each set of equivalent atoms:
Ba1 0.0000 0.0000 0.0000  5 Ru 3.36-3.53, 3 Os 3.40-3.58
Ba2 0.4877 0.4878 0.3441  5 Os 3.38-3.55, 3 Ru 3.39-3.60
Os1 0.0253 0.0280 0.5449  2 Ru 2.44-2.56, 2 Os 2.44-2.56
Os2 0.5200 0.9670 0.6716  2 Os 2.44-2.56, 3 Ru 2.46-2.66
Ru1 0.4596 0.4622 0.8024  2 Ru 2.46-2.57, 2 Os 2.46-2.57
Ru2 0.9652 0.5217 0.6712  3 Os 2.44-2.66, 2 Ru 2.46-2.57


No. 2
VASP calculation (PBE-GGA) on a relaxed Pr3TmRu crystal.

Calculated values
Total DFT energy (no corrections) (eV/atom): -5.54

Cell: 5.5560 5.5560 5.5560 Å, 90.00 90.00 90.00°
Closest atoms and distances in Å follow each position.
Space group Pm-3m (No. 221)
One atom of each set of equivalent atoms:
Pr1 0.0000 0.0000 0.5000  2 Ru 2.78
Tm1 0.5000 0.5000 0.5000  12 Pr 3.93
Ru1 0.0000 0.0000 0.0000  6 Pr 2.78


No. 3
VASP calculation (PBE-GGA) on a relaxed GdTiZn2 crystal.

Calculated values
Polymorph energy (0 for the lowest one) (eV/atom): 0.103

Cell: 4.8757 4.8757 3.2807 Å, 90.00 90.00 90.00°
Closest atoms and distances in Å follow each position.
Space group P4/mmm (No. 123)
One atom of each set of equivalent atoms:
Gd1 0.0000 0.0000 0.0000  8 Zn 2.94, 2 Gd 3.28
Ti1 0.5000 0.5000 0.0000  8 Zn 2.94, 2 Ti 3.28
Zn1 0.0000 0.5000 0.5000  4 Gd 2.94, 4 Ti 2.94, 2 Zn 3.28


No. 4
VASP calculation (PBE-GGA) on a relaxed TiBe8V3 crystal.

Calculated values
Total DFT energy (no corrections) (eV/atom): -5.63

Cell: 4.4102 4.4102 7.1520 Å, 90.00 90.00 120.00°
Closest atoms and distances in Å follow each position.
Space group P3m1 (No. 156)
One atom of each set of equivalent atoms:
Ti1 0.0000 0.0000 0.0000  12 Be 2.59-2.61, 4 V 2.66-2.72
Be1 0.1634 0.3268 0.6797  6 Be 2.16-2.25
Be2 0.3333 0.6667 0.4350  6 Be 2.18
Be3 0.3333 0.6667 0.9338  6 Be 2.23-2.26
Be4 0.5041 0.0083 0.1914  6 Be 2.15-2.26
V1 0.0000 0.0000 0.3724  12 Be 2.53-2.59, 1 Ti 2.66, 3 V 2.71
V2 0.6667 0.3333 0.5010  12 Be 2.54-2.59, 4 V 2.61-2.71
V3 0.6667 0.3333 0.8663  12 Be 2.58-2.64, 1 V 2.61, 3 Ti 2.72


No. 5
VASP calculation (PBE-GGA) on a relaxed Li2UPbBr8 crystal.

Calculated values
E_form (uncorrected) (eV/atom): -1.2682

Cell: 7.0356 7.2907 8.8796 Å, 72.59 89.91 78.19°
Closest atoms and distances in Å follow each position.
Space group P-1 (No. 2)
One atom of each set of equivalent atoms:
Li1 0.0422 0.1467 0.3287  4 Br 2.51-2.67
U1 0.5000 0.5000 0.0000  6 Br 2.75-2.87
Pb1 0.5000 0.5000 0.5000  6 Br 3.01-3.12
Br1 0.1056 0.7733 0.4355  2 Li 2.51-2.54
Br2 0.1388 0.7490 0.9449  1 Li 2.57, 1 U 2.75
Br3 0.3795 0.2788 0.8265  1 U 2.78, 1 Pb 3.08
Br4 0.3812 0.2617 0.2892  1 Li 2.67, 1 U 2.87


No. 6
VASP calculation (PBE-GGA) on a relaxed Na2NiAs2Rh crystal.

Calculated values
Total DFT energy (no corrections) (eV/atom): -4.61

Cell: 5.8081 13.6338 5.7501 Å, 90.00 90.00 90.00°
Closest atoms and distances in Å follow each position.
Space group Ibam (No. 72)
One atom of each set of equivalent atoms:
Na1 0.2429 0.1725 0.0000  5 As 3.03-3.13, 2 Rh 3.10, 2 Ni 3.13
Ni1 0.0000 0.5000 0.2500  4 As 2.39
As1 0.2345 0.4023 0.0000  2 Ni 2.39, 2 Rh 2.49
Rh1 0.0000 0.0000 0.2500  4 As 2.49


No. 7
VASP calculation (PBE-GGA) on a relaxed AlGa5Rh6 crystal.

Calculated values
Total DFT energy (no corrections) (eV/atom): -6.00

Cell: 7.3991 12.8989 4.2783 Å, 90.00 125.18 90.00°
Closest atoms and distances in Å follow each position.
Space group C2/m (No. 12)
One atom of each set of equivalent atoms:
Al1 0.0000 0.0000 0.0000  8 Rh 2.61-2.62
Ga1 0.0000 0.1649 0.5000  8 Rh 2.61-2.65
Ga2 0.0000 0.3329 0.0000  8 Rh 2.62-2.63
Ga3 0.0000 0.5000 0.5000  8 Rh 2.62
Rh1 0.2494 0.0000 0.7494  6 Ga 2.61-2.63, 2 Al 2.61-2.62
Rh2 0.2496 0.1662 0.2496  7 Ga 2.62-2.65, 1 Al 2.62


No. 8
VASP calculation (PBE-GGA) on a relaxed K2BaPb2 crystal.

Calculated values
Polymorph energy (0 for the lowest one) (eV/atom): 0.120

Cell: 10.3340 10.3340 3.7155 Å, 90.00 90.00 90.00°
Closest atoms and distances in Å follow each position.
Space group P4/mbm (No. 127)
One atom of each set of equivalent atoms:
K1 0.1176 0.3824 0.0000  3 K 3.44-3.72, 6 Pb 3.48-3.66
Ba1 0.0000 0.0000 0.0000  2 Ba 3.72, 4 K 4.13
Pb1 0.1813 0.6813 0.5000  6 K 3.48-3.66, 2 Pb 3.72